1.
The following is a GGA-PBE calculation of crystalline CrCo2Pt at its relaxed geometry, from Alexandria via LeMat-Bulk.

It has space group R3m (No. 160, hexagonal axes), with a = 2.6199 Å, b = 2.6199 Å, c = 25.2111 Å, α = 90.00°, β = 90.00° and γ = 120.00°. The asymmetric unit holds Cr at (0.0000, 0.0000, 0.0000), Co at (0.0000, 0.0000, 0.4898), Co at (0.0000, 0.0000, 0.7457) and Pt at (0.0000, 0.0000, 0.2458).

For the energy, the calculation gives -7.39 eV/atom. The value obtained for the energy relative to the elements is 0.08 eV per atom.


2.
The following is a GGA-PBE calculation of crystalline Cr2CoPt at its relaxed geometry, from Alexandria via LeMat-Bulk.

It has space group C2/m (No. 12), with a = 8.583 Å, b = 2.689 Å, c = 4.427 Å, α = 90.00°, β = 101.03° and γ = 90.00°. The asymmetric unit holds Cr at (0.245, 0.000, 0.202), Co at (0.000, 0.500, 0.000) and Pt at (0.000, 0.000, 0.500).

For the energy, the calculation gives -8.06 eV/atom. The value obtained for the energy relative to the elements is 0.03 eV per atom.


3.
The following is a GGA-PBE calculation of crystalline Cr2CoPt at its relaxed geometry, from Alexandria via LeMat-Bulk.

It has space group I-42d (No. 122), with a = 3.575 Å, b = 3.575 Å, c = 16.889 Å, α = 90.00°, β = 90.00° and γ = 90.00°. The asymmetric unit holds Cr at (0.198, 0.250, 0.125), Co at (0.000, 0.000, 0.000) and Pt at (0.000, 0.000, 0.500).

For the energy, the calculation gives -7.66 eV/atom. The value obtained for the energy relative to the elements is 0.44 eV per atom.


4.
The following is a GGA-PBE calculation of crystalline Cr2CoPt at its relaxed geometry, from Alexandria via LeMat-Bulk.

It has space group F-43m (No. 216), with a = 5.956 Å, b = 5.956 Å, c = 5.956 Å, α = 90.00°, β = 90.00° and γ = 90.00°. The asymmetric unit holds Cr at (0.000, 0.000, 0.000), Cr at (0.250, 0.250, 0.250), Co at (0.000, 0.000, 0.500) and Pt at (0.250, 0.250, 0.750).

For the energy, the calculation gives -8.00 eV/atom. The value obtained for the energy relative to the elements is 0.10 eV per atom.


5.
The following is a GGA-PBE calculation of crystalline CrCoPt2 at its relaxed geometry, from Alexandria via LeMat-Bulk.

It has space group Cm (No. 8), with a = 8.894 Å, b = 2.691 Å, c = 4.636 Å, α = 90.00°, β = 101.42° and γ = 90.00°. The asymmetric unit holds Cr at (0.000, 0.000, 0.000), Co at (0.234, 0.500, 0.261), Pt at (0.251, 0.000, 0.784) and Pt at (0.487, 0.000, 0.480).

For the energy, the calculation gives -7.29 eV/atom. The value obtained for the energy relative to the elements is -0.09 eV per atom.


6.
The following is a GGA-PBE calculation of crystalline CrCo2Pt at its relaxed geometry, from Alexandria via LeMat-Bulk.

It has space group I-42d (No. 122), with a = 6.392 Å, b = 6.392 Å, c = 5.102 Å, α = 90.00°, β = 90.00° and γ = 90.00°. The asymmetric unit holds Cr at (0.000, 0.000, 0.000), Co at (0.208, 0.250, 0.125) and Pt at (0.000, 0.000, 0.500).

For the energy, the calculation gives -7.07 eV/atom. The value obtained for the energy relative to the elements is 0.40 eV per atom.